12
Lattice="-2.8765 -2.7099 -0.3106 -0.1796 -0.5249 6.2415 -3.3751 3.5594 0.2022" Properties=species:S:1:pos:R:3 comment="GGA-PBE BeCoNi, optimized geometry" dos_ef_per_ev_cell=12.32 relative_energy_mev_per_atom=185 final_energy_ev_per_atom=-5.550 magnetic_moment_mub_per_cell=6.2 spacegroup="No. 62" formation_energy_mev_per_atom=-12 pbc="T T T"
Co -2.5479 -1.6605 0.1388
Co -2.1260 0.4092 3.4704
Co -3.8833 1.9852 5.9943
Co -4.3051 -0.0845 2.6627
Be -3.4732 -1.1814 4.5286
Be -1.2709 -0.2752 1.5228
Be -2.9579 1.5061 1.6045
Be -5.1602 0.5999 4.6103
Ni -2.6286 -1.8486 2.5274
Ni -2.1827 0.1957 5.8576
Ni -3.8025 2.1733 3.6057
Ni -4.2484 0.1290 0.2755


4
Lattice="-0.8398 -1.9528 3.8993 -2.0921 -3.9163 0.0965 3.5263 2.2585 -1.4791" Properties=species:S:1:pos:R:3 comment="GGA-PBE Be2CoNi, optimized geometry" dos_ef_per_ev_cell=2.91 relative_energy_mev_per_atom=172 final_energy_ev_per_atom=-5.331 magnetic_moment_mub_per_cell=0.6 spacegroup="No. 44" formation_energy_mev_per_atom=-247 pbc="T T T"
Ni 0.5857 -1.3635 2.2425
Co -1.4482 -2.8989 1.9737
Be -0.0116 -0.0233 0.0159
Be 0.0025 -2.2594 0.2826


4
Lattice="-3.8337 -1.9311 1.4562 0.3165 -4.1728 1.7419 1.2739 4.3382 0.3227" Properties=species:S:1:pos:R:3 comment="GGA-PBE BeCo2Ni, optimized geometry" dos_ef_per_ev_cell=4.23 final_energy_ev_per_atom=-6.022 magnetic_moment_mub_per_cell=3.0 spacegroup="No. 44" formation_energy_mev_per_atom=-92 pbc="T T T"
Ni -1.6857 -2.9255 1.5328
Co -0.0628 -0.1090 0.0571
Co -2.1657 -0.3337 1.6949
Be -0.0877 -1.4495 1.8351